1.
{
  "formula": "LiVSi3O8",
  "functional": "meta-GGA SCAN",
  "state": "single point on PBEsol structure",
  "e_form_raw_mev_per_atom": -2846,
  "sg": "P-1, No. 2",
  "cell": [[7.041, 0.000, 0.000], [-0.574, 7.319, 0.000], [-2.632, -3.463, 6.164]],
  "species": ["Li", "Li", "V", "V", "Si", "Si", "Si", "Si", "Si", "Si", "O", "O", "O", "O", "O", "O", "O", "O", "O", "O", "O", "O", "O", "O", "O", "O"],
  "frac_coords": [[0.186, 0.315, 0.254], [0.814, 0.685, 0.746], [0.192, 0.849, 0.143], [0.808, 0.151, 0.857], [0.262, 0.185, 0.822], [0.279, 0.576, 0.772], [0.379, 0.787, 0.546], [0.621, 0.213, 0.454], [0.721, 0.424, 0.228], [0.738, 0.815, 0.178], [0.095, 0.163, 0.919], [0.108, 0.691, 0.837], [0.219, 0.332, 0.709], [0.257, 0.960, 0.640], [0.296, 0.577, 0.560], [0.307, 0.707, 0.291], [0.367, 0.126, 0.309], [0.497, 0.287, 0.019], [0.503, 0.713, 0.981], [0.633, 0.874, 0.691], [0.693, 0.293, 0.709], [0.704, 0.423, 0.440], [0.743, 0.040, 0.360], [0.781, 0.668, 0.291], [0.892, 0.309, 0.163], [0.905, 0.837, 0.081]]
}

2.
{
  "formula": "LaZnCr",
  "functional": "meta-GGA SCAN",
  "state": "single point on PBEsol structure",
  "sg": "I4mm, No. 107",
  "ef_kj_per_mol_atoms": 3.8,
  "cell": [[-1.673, 1.673, 5.513], [1.673, -1.673, 5.513], [1.673, 1.673, -5.513]],
  "species": ["La", "Zn", "Cr"],
  "frac_coords": [[0.000, 0.000, 0.000], [0.703, 0.703, 0.000], [0.305, 0.305, 0.000]]
}

3.
{
  "formula": "CuPtAu2",
  "functional": "meta-GGA SCAN",
  "state": "single point on PBEsol structure",
  "sg": "P4mm, No. 99",
  "ef_kj_per_mol_atoms": -5.3,
  "cell": [[2.832, 0.000, 0.000], [0.000, 2.832, 0.000], [0.000, 0.000, 7.508]],
  "species": ["Cu", "Pt", "Au", "Au"],
  "frac_coords": [[0.000, 0.000, 0.000], [0.500, 0.500, 0.219], [0.000, 0.000, 0.487], [0.500, 0.500, 0.767]]
}

4.
{
  "formula": "K2YMg",
  "functional": "meta-GGA SCAN",
  "state": "single point on PBEsol structure",
  "sg": "R-3m, No. 166",
  "ef_kj_per_mol_atoms": 39.1,
  "cell": [[1.829, 1.056, 13.451], [-1.829, 1.056, 13.451], [0.000, -2.112, 13.451]],
  "species": ["K", "K", "Y", "Mg"],
  "frac_coords": [[0.246, 0.246, 0.246], [0.754, 0.754, 0.754], [0.000, 0.000, 0.000], [0.500, 0.500, 0.500]]
}

5.
{
  "formula": "BaTa4Pb",
  "functional": "meta-GGA SCAN",
  "state": "single point on PBEsol structure",
  "sg": "F-43m, No. 216",
  "ef_kj_per_mol_atoms": 78.3,
  "cell": [[0.000, 4.052, 4.052], [4.052, 0.000, 4.052], [4.052, 4.052, 0.000]],
  "species": ["Ba", "Ta", "Ta", "Ta", "Ta", "Pb"],
  "frac_coords": [[0.000, 0.000, 0.000], [0.373, 0.373, 0.373], [0.373, 0.373, 0.882], [0.373, 0.882, 0.373], [0.882, 0.373, 0.373], [0.750, 0.750, 0.750]]
}

6.
{
  "formula": "YSi2Ag",
  "functional": "meta-GGA SCAN",
  "state": "single point on PBEsol structure",
  "e_form_raw_mev_per_atom": -34,
  "sg": "Pmmm, No. 47",
  "cell": [[3.080, 0.000, 0.000], [0.000, 3.841, 0.000], [0.000, 0.000, 6.213]],
  "species": ["Y", "Si", "Si", "Ag"],
  "frac_coords": [[0.000, 0.000, 0.000], [0.500, 0.500, 0.302], [0.500, 0.500, 0.698], [0.000, 0.000, 0.500]]
}

7.
{
  "formula": "ZrSiBi2",
  "functional": "meta-GGA SCAN",
  "state": "single point on PBEsol structure",
  "e_form_raw_mev_per_atom": 539,
  "sg": "I-42d, No. 122",
  "cell": [[-3.286, 3.286, 6.363], [3.286, -3.286, 6.363], [3.286, 3.286, -6.363]],
  "species": ["Zr", "Zr", "Si", "Si", "Bi", "Bi", "Bi", "Bi"],
  "frac_coords": [[0.000, 0.000, 0.000], [0.750, 0.250, 0.500], [0.250, 0.750, 0.500], [0.500, 0.500, 0.000], [0.140, 0.625, 0.015], [0.375, 0.390, 0.515], [0.610, 0.125, 0.985], [0.875, 0.860, 0.485]]
}

8.
{
  "formula": "CuSbPt",
  "functional": "meta-GGA SCAN",
  "state": "single point on PBEsol structure",
  "e_form_raw_mev_per_atom": -71,
  "sg": "F-43m, No. 216",
  "cell": [[0.000, 3.032, 3.032], [3.032, 0.000, 3.032], [3.032, 3.032, 0.000]],
  "species": ["Cu", "Sb", "Pt"],
  "frac_coords": [[0.000, 0.000, 0.000], [0.250, 0.250, 0.250], [0.500, 0.500, 0.500]]
}